(1)
Computed, not measured: an optimized crystal structure of MgSe2 at the PBE level of DFT.

Properties
- Calculated total energy: -0.130 Ha/atom

Geometry as CIF:
```
data_MgSe2
_cell_length_a 4.0558
_cell_length_b 4.0558
_cell_length_c 10.7599
_cell_angle_alpha 90.00
_cell_angle_beta 90.00
_cell_angle_gamma 120.00
_symmetry_space_group_name_H-M 'P 63/m m c'
_symmetry_Int_Tables_number 194
_symmetry_space_group_name_Hall '-P 6c 2c'
loop_
_atom_site_label
_atom_site_type_symbol
_atom_site_fract_x
_atom_site_fract_y
_atom_site_fract_z
Mg1 Mg 0.3333 0.6667 0.2500
Se1 Se 0.0000 0.0000 0.1195
```



(2)
Computed, not measured: an optimized crystal structure of Mg3Se at the PBE level of DFT.

Properties
- Calculated total energy: -0.089 Ha/atom

Geometry as CIF:
```
data_Mg3Se
_cell_length_a 3.568
_cell_length_b 9.493
_cell_length_c 5.431
_cell_angle_alpha 90.00
_cell_angle_beta 90.00
_cell_angle_gamma 90.00
_symmetry_space_group_name_H-M 'I m m 2'
_symmetry_Int_Tables_number 44
loop_
_symmetry_equiv_pos_as_xyz
'x,y,z'
'-x,-y,z'
'-x,y,z'
'x,-y,z'
'x+1/2,y+1/2,z+1/2'
'-x+1/2,-y+1/2,z+1/2'
'-x+1/2,y+1/2,z+1/2'
'x+1/2,-y+1/2,z+1/2'
loop_
_atom_site_label
_atom_site_type_symbol
_atom_site_fract_x
_atom_site_fract_y
_atom_site_fract_z
Mg1 Mg 0.000 0.000 0.000
Mg2 Mg 0.000 0.206 0.550
Se1 Se 0.000 0.500 0.871
```



(3)
Computed, not measured: an optimized crystal structure of MgSe3 at the PBE level of DFT.

Properties
- Calculated total energy: -0.111 Ha/atom

Geometry as CIF:
```
data_MgSe3
_cell_length_a 5.510
_cell_length_b 5.510
_cell_length_c 5.510
_cell_angle_alpha 90.00
_cell_angle_beta 90.00
_cell_angle_gamma 90.00
_symmetry_space_group_name_H-M 'P m -3 n'
_symmetry_Int_Tables_number 223
_symmetry_space_group_name_Hall '-P 4n 2 3'
loop_
_atom_site_label
_atom_site_type_symbol
_atom_site_fract_x
_atom_site_fract_y
_atom_site_fract_z
Mg1 Mg 0.000 0.000 0.000
Se1 Se 0.000 0.250 0.500
```



(4)
Computed, not measured: an optimized crystal structure of MgSe2 at the PBE level of DFT.

Properties
- Calculated total energy: -0.117 Ha/atom

Geometry as CIF:
```
data_MgSe2
_cell_length_a 4.900
_cell_length_b 4.900
_cell_length_c 2.933
_cell_angle_alpha 90.00
_cell_angle_beta 90.00
_cell_angle_gamma 90.00
_symmetry_space_group_name_H-M 'P 4/m m m'
_symmetry_Int_Tables_number 123
_symmetry_space_group_name_Hall '-P 4 2'
loop_
_atom_site_label
_atom_site_type_symbol
_atom_site_fract_x
_atom_site_fract_y
_atom_site_fract_z
Mg1 Mg 0.000 0.000 0.000
Se1 Se 0.000 0.500 0.500
```



(5)
Computed, not measured: an optimized crystal structure of Mg3Se at the PBE level of DFT.

Properties
- Calculated total energy: -0.087 Ha/atom

Geometry as CIF:
```
data_Mg3Se
_cell_length_a 5.787
_cell_length_b 8.462
_cell_length_c 3.614
_cell_angle_alpha 90.00
_cell_angle_beta 90.00
_cell_angle_gamma 90.00
_symmetry_space_group_name_H-M 'C m m m'
_symmetry_Int_Tables_number 65
_symmetry_space_group_name_Hall '-C 2 2'
loop_
_atom_site_label
_atom_site_type_symbol
_atom_site_fract_x
_atom_site_fract_y
_atom_site_fract_z
Mg1 Mg 0.000 0.000 0.000
Mg2 Mg 0.250 0.250 0.500
Se1 Se 0.000 0.500 0.000
```



(6)
Computed, not measured: an optimized crystal structure of Mg4Se5 at the PBE level of DFT.

Properties
- Calculated total energy: -0.117 Ha/atom
- Energy relative to the lowest polymorph listed for this composition: 196 meV/atom

Geometry as CIF:
```
data_Mg4Se5
_cell_length_a 15.747
_cell_length_b 15.747
_cell_length_c 3.265
_cell_angle_alpha 90.00
_cell_angle_beta 90.00
_cell_angle_gamma 90.00
_symmetry_space_group_name_H-M 'I 4/m m m'
_symmetry_Int_Tables_number 139
_symmetry_space_group_name_Hall '-I 4 2'
loop_
_atom_site_label
_atom_site_type_symbol
_atom_site_fract_x
_atom_site_fract_y
_atom_site_fract_z
Mg1 Mg 0.000 0.156 0.000
Se1 Se 0.000 0.000 0.000
Se2 Se 0.147 0.147 0.500
```



(7)
Computed, not measured: an optimized crystal structure of MgSe3 at the PBE level of DFT.

Properties
- Calculated total energy: -0.118 Ha/atom

Geometry as CIF:
```
data_MgSe3
_cell_length_a 4.0702
_cell_length_b 4.0702
_cell_length_c 18.9876
_cell_angle_alpha 90.00
_cell_angle_beta 90.00
_cell_angle_gamma 120.00
_symmetry_space_group_name_H-M 'R -3 m'
_symmetry_Int_Tables_number 166
_symmetry_space_group_name_Hall '-R 3 2"'
loop_
_atom_site_label
_atom_site_type_symbol
_atom_site_fract_x
_atom_site_fract_y
_atom_site_fract_z
Mg1 Mg 0.0000 0.0000 0.0000
Se1 Se 0.0000 0.0000 0.2555
Se2 Se 0.0000 0.0000 0.5000
```



(8)
Computed, not measured: an optimized crystal structure of Mg3Se at the PBE level of DFT.

Properties
- Calculated total energy: -0.080 Ha/atom

Geometry as CIF:
```
data_Mg3Se
_cell_length_a 5.632
_cell_length_b 5.632
_cell_length_c 5.632
_cell_angle_alpha 90.00
_cell_angle_beta 90.00
_cell_angle_gamma 90.00
_symmetry_space_group_name_H-M 'P m -3 n'
_symmetry_Int_Tables_number 223
_symmetry_space_group_name_Hall '-P 4n 2 3'
loop_
_atom_site_label
_atom_site_type_symbol
_atom_site_fract_x
_atom_site_fract_y
_atom_site_fract_z
Mg1 Mg 0.000 0.250 0.500
Se1 Se 0.000 0.000 0.000
```



(9)
Computed, not measured: an optimized crystal structure of Mg4Se at the PBE level of DFT.

Properties
- Calculated total energy: -0.074 Ha/atom
- Energy relative to the lowest polymorph listed for this composition: 220 meV/atom

Geometry as CIF:
```
data_Mg4Se
_cell_length_a 3.849
_cell_length_b 3.849
_cell_length_c 16.239
_cell_angle_alpha 90.00
_cell_angle_beta 90.00
_cell_angle_gamma 90.00
_symmetry_space_group_name_H-M 'I 4/m m m'
_symmetry_Int_Tables_number 139
_symmetry_space_group_name_Hall '-I 4 2'
loop_
_atom_site_label
_atom_site_type_symbol
_atom_site_fract_x
_atom_site_fract_y
_atom_site_fract_z
Mg1 Mg 0.000 0.000 0.091
Mg2 Mg 0.000 0.500 0.250
Se1 Se 0.000 0.000 0.500
```



(10)
Computed, not measured: an optimized crystal structure of MgSe3 at the PBE level of DFT.

Properties
- Calculated total energy: -0.124 Ha/atom

Geometry as CIF:
```
data_MgSe3
_cell_length_a 18.374
_cell_length_b 3.642
_cell_length_c 3.688
_cell_angle_alpha 90.00
_cell_angle_beta 99.37
_cell_angle_gamma 90.00
_symmetry_space_group_name_H-M 'C 1 2/m 1'
_symmetry_Int_Tables_number 12
loop_
_symmetry_equiv_pos_as_xyz
'x,y,z'
'-x,-y,-z'
'-x,y,-z'
'x,-y,z'
'x+1/2,y+1/2,z'
'-x+1/2,-y+1/2,-z'
'-x+1/2,y+1/2,-z'
'x+1/2,-y+1/2,z'
loop_
_atom_site_label
_atom_site_type_symbol
_atom_site_fract_x
_atom_site_fract_y
_atom_site_fract_z
Mg1 Mg 0.000 0.000 0.000
Se1 Se 0.000 0.500 0.500
Se2 Se 0.230 0.500 0.203
```



(11)
Computed, not measured: an optimized crystal structure of MgSe2 at the PBE level of DFT.

Properties
- Calculated total energy: -0.126 Ha/atom

Geometry as CIF:
```
data_MgSe2
_cell_length_a 5.130
_cell_length_b 4.697
_cell_length_c 12.789
_cell_angle_alpha 90.00
_cell_angle_beta 90.00
_cell_angle_gamma 90.00
_symmetry_space_group_name_H-M 'P n m a'
_symmetry_Int_Tables_number 62
loop_
_symmetry_equiv_pos_as_xyz
'x,y,z'
'-x,-y,-z'
'-x+1/2,-y,z+1/2'
'x+1/2,y,-z+1/2'
'x+1/2,-y+1/2,-z+1/2'
'-x+1/2,y+1/2,z+1/2'
'-x,y+1/2,-z'
'x,-y+1/2,z'
loop_
_atom_site_label
_atom_site_type_symbol
_atom_site_fract_x
_atom_site_fract_y
_atom_site_fract_z
Mg1 Mg 0.002 0.250 0.129
Se1 Se 0.001 0.250 0.463
Se2 Se 0.001 0.750 0.227
```



(12)
Computed, not measured: an optimized crystal structure of MgSe2 at the PBE level of DFT.

Properties
- Calculated total energy: -0.116 Ha/atom

Geometry as CIF:
```
data_MgSe2
_cell_length_a 3.3093
_cell_length_b 3.3093
_cell_length_c 24.8139
_cell_angle_alpha 90.00
_cell_angle_beta 90.00
_cell_angle_gamma 120.00
_symmetry_space_group_name_H-M 'R 3 m'
_symmetry_Int_Tables_number 160
_symmetry_space_group_name_Hall 'R 3 -2"'
loop_
_atom_site_label
_atom_site_type_symbol
_atom_site_fract_x
_atom_site_fract_y
_atom_site_fract_z
Mg1 Mg 0.0000 0.0000 0.0000
Se1 Se 0.0000 0.0000 0.2550
Se2 Se 0.0000 0.0000 0.4117
```



Sequential DOS(E_F) output: 2.321; 1.515; 10.863; 1.201; 2.432; 7.684; 13.660; 5.156; 5.143; 2.296; 2.154; 7.214 states/eV per cell
Sequential uncorrected formation energy output: -681; -367; -1; -323; -300; -529; -196; -117; -44; -371; -561; -313 meV per atom